[1]
The following is a DFT calculation (PBE) of crystalline BaGaPb at its relaxed geometry.

* crystal system: cubic

Cell: 5.322 5.322 5.322 Å, 60.00 60.00 60.00°
Fractional positions:
1 Ga 0.250 0.250 0.250
2 Ba 0.000 0.000 0.000
3 Pb 0.500 0.500 0.500



[2]
The following is a DFT calculation (PBE) of crystalline Ba6Ga2Pb at its relaxed geometry.

* crystal system: orthorhombic

Cell: 10.176 10.176 10.176 Å, 114.13 108.57 105.83°
Fractional positions:
1 Ga 0.894 0.394 0.500
2 Ga 0.331 0.000 0.331
3 Ga 0.106 0.606 0.500
4 Ga 0.669 0.000 0.669
5 Ba 0.941 0.754 0.187
6 Ba 0.059 0.246 0.813
7 Ba 0.337 0.021 0.684
8 Ba 0.179 0.274 0.453
9 Ba 0.663 0.347 0.684
10 Ba 0.567 0.754 0.813
11 Ba 0.821 0.726 0.547
12 Ba 0.821 0.274 0.095
13 Ba 0.433 0.246 0.187
14 Ba 0.663 0.979 0.316
15 Ba 0.337 0.653 0.316
16 Ba 0.179 0.726 0.905
17 Pb 0.000 0.000 0.000
18 Pb 0.500 0.500 0.000



[3]
The following is a DFT calculation (PBE) of crystalline Ba4Ga2Pb at its relaxed geometry.

* crystal system: tetragonal

Cell: 4.692 8.922 8.922 Å, 86.03 74.75 74.75°
Fractional positions:
1 Ba 0.500 0.237 0.763
2 Ba 0.500 0.763 0.237
3 Ba 0.263 0.237 0.237
4 Ba 0.737 0.763 0.763
5 Ga 0.750 0.500 0.500
6 Ga 0.250 0.500 0.500
7 Pb 0.000 0.000 0.000



[4]
The following is a DFT calculation (PBE) of crystalline BaGa2Pb4 at its relaxed geometry.

* crystal system: orthorhombic

Cell: 4.868 4.823 9.507 Å, 104.69 90.00 90.00°
Fractional positions:
1 Ba 0.000 0.000 0.000
2 Ga 0.500 0.430 0.860
3 Ga 0.500 0.570 0.140
4 Pb 0.000 0.671 0.343
5 Pb 0.000 0.329 0.657
6 Pb 0.500 0.828 0.656
7 Pb 0.500 0.172 0.344



[5]
The following is a DFT calculation (PBE) of crystalline Ba3GaPb at its relaxed geometry.

* crystal system: cubic

Cell: 6.295 6.295 6.295 Å, 90.00 90.00 90.00°
Fractional positions:
1 Ga 0.000 0.000 0.000
2 Ba 0.000 0.000 0.500
3 Ba 0.500 0.000 0.000
4 Ba 0.000 0.500 0.000
5 Pb 0.500 0.500 0.500



[6]
The following is a DFT calculation (PBE) of crystalline BaGa4Pb at its relaxed geometry.

* crystal system: cubic

Cell: 5.968 5.968 5.968 Å, 60.00 60.00 60.00°
Fractional positions:
1 Ga 0.626 0.122 0.626
2 Ga 0.626 0.626 0.122
3 Ga 0.122 0.626 0.626
4 Ga 0.626 0.626 0.626
5 Pb 0.000 0.000 0.000
6 Ba 0.250 0.250 0.250



[7]
The following is a DFT calculation (PBE) of crystalline BaGa2Pb at its relaxed geometry.

* crystal system: tetragonal

Cell: 5.166 5.166 10.945 Å, 76.35 76.35 90.00°
Fractional positions:
1 Ga 0.874 0.125 0.250
2 Ga 0.875 0.124 0.750
3 Ga 0.375 0.126 0.750
4 Ga 0.876 0.625 0.250
5 Pb 0.000 0.000 0.000
6 Pb 0.750 0.250 0.500
7 Ba 0.250 0.750 0.500
8 Ba 0.500 0.500 0.000



[8]
The following is a DFT calculation (PBE) of crystalline BaGaPb4 at its relaxed geometry.

* crystal system: cubic

Cell: 6.601 6.601 6.601 Å, 60.00 60.00 60.00°
Fractional positions:
1 Pb 0.124 0.625 0.625
2 Pb 0.625 0.625 0.124
3 Pb 0.625 0.625 0.625
4 Pb 0.625 0.124 0.625
5 Ga 0.250 0.250 0.250
6 Ba 0.000 0.000 0.000



[9]
The following is a DFT calculation (PBE) of crystalline Ba2GaPb2 at its relaxed geometry.

* crystal system: tetragonal

Cell: 8.204 8.204 5.488 Å, 90.00 90.00 90.00°
Fractional positions:
1 Ba 0.668 0.832 0.500
2 Ba 0.832 0.332 0.500
3 Ba 0.332 0.168 0.500
4 Ba 0.168 0.668 0.500
5 Pb 0.639 0.139 0.000
6 Pb 0.861 0.639 0.000
7 Pb 0.361 0.861 0.000
8 Pb 0.139 0.361 0.000
9 Ga 0.500 0.500 0.000
10 Ga 0.000 0.000 0.000



[10]
The following is a DFT calculation (PBE) of crystalline Ba4GaPb at its relaxed geometry.

* crystal system: monoclinic

Cell: 7.675 9.630 9.610 Å, 114.19 106.54 103.23°
Fractional positions:
1 Ga 0.754 0.004 0.007
2 Ga 0.246 0.996 0.993
3 Pb 0.386 0.636 0.273
4 Pb 0.614 0.364 0.727
5 Ba 0.637 0.355 0.117
6 Ba 0.020 0.238 0.883
7 Ba 0.363 0.645 0.883
8 Ba 0.785 0.709 0.655
9 Ba 0.215 0.291 0.345
10 Ba 0.980 0.762 0.117
11 Ba 0.631 0.055 0.345
12 Ba 0.369 0.945 0.655



[11]
The following is a DFT calculation (PBE) of crystalline Ba2GaPb2 at its relaxed geometry.

* crystal system: orthorhombic

Cell: 7.145 7.430 8.986 Å, 114.42 113.42 90.00°
Fractional positions:
1 Pb 0.113 0.823 0.226
2 Pb 0.613 0.403 0.226
3 Pb 0.887 0.177 0.774
4 Pb 0.387 0.597 0.774
5 Ba 0.635 0.928 0.271
6 Ba 0.865 0.658 0.729
7 Ba 0.135 0.342 0.271
8 Ba 0.365 0.072 0.729
9 Ga 0.750 0.500 0.000
10 Ga 0.250 0.500 0.000



[12]
The following is a DFT calculation (PBE) of crystalline BaGa2Pb at its relaxed geometry.

* crystal system: orthorhombic

Cell: 4.907 7.813 12.347 Å, 90.00 90.00 90.00°
Fractional positions:
1 Ga 0.750 0.980 0.668
2 Ga 0.750 0.823 0.850
3 Ga 0.250 0.677 0.350
4 Ga 0.750 0.480 0.832
5 Ga 0.250 0.520 0.168
6 Ga 0.250 0.020 0.332
7 Ga 0.250 0.177 0.150
8 Ga 0.750 0.323 0.650
9 Pb 0.750 0.855 0.435
10 Pb 0.750 0.355 0.065
11 Pb 0.250 0.145 0.565
12 Pb 0.250 0.645 0.935
13 Ba 0.750 0.857 0.133
14 Ba 0.750 0.357 0.367
15 Ba 0.250 0.143 0.867
16 Ba 0.250 0.643 0.633



Values for ρ, g/cm3, ordered as above
6.5 4.8 4.3 8.5 4.6 6.9 5.8 8.5 6.8 4.8 6.4 6.8
Values for calculated total energy, eV/atom, ordered as above
-3.21 -2.68 -2.70 -3.46 -2.58 -3.11 -3.10 -3.42 -3.24 -2.75 -3.31 -3.31
Values for formation energy from the elements, eV per atom, ordered as above
-0.33 -0.31 -0.21 -0.20 -0.08 -0.16 -0.18 -0.12 -0.38 -0.34 -0.46 -0.39